(1)
# Ba3Sb2, relaxed, DFT PBE
# Relative energy among the computed polymorphs ... 412.6 meV/atom
# Energy relative to the elements, uncorrected ... -603 meV per atom
# Total magnetic moment ... 0.000 μB/cell
# Volume ... 274 Å³ per cell
# DFT total energy ... -0.2503 Ry per atom
data_Ba3Sb2
_cell_length_a 6.495
_cell_length_b 6.495
_cell_length_c 6.495
_cell_angle_alpha 90.00
_cell_angle_beta 90.00
_cell_angle_gamma 90.00
_space_group_name_H-M_alt 'P m -3 m'
_space_group_IT_number 221
_space_group_name_Hall '-P 4 2 3'
loop_
_atom_site_label
_atom_site_fract_x
_atom_site_fract_y
_atom_site_fract_z
Ba1 0.000 0.000 0.500
Sb1 0.000 0.000 0.000
Sb2 0.500 0.500 0.500



(2)
# Ga2OsF, relaxed, DFT PBE
# Relative energy among the computed polymorphs ... 16.5 meV/atom
# Energy relative to the elements, uncorrected ... -46 meV per atom
# Total magnetic moment ... 0.000 μB/cell
# Volume ... 312 Å³ per cell
# DFT total energy ... -0.3553 Ry per atom
data_Ga2OsF
_cell_length_a 5.320
_cell_length_b 5.320
_cell_length_c 11.018
_cell_angle_alpha 90.00
_cell_angle_beta 90.00
_cell_angle_gamma 90.00
_space_group_name_H-M_alt 'I -4 2 d'
_space_group_IT_number 122
_space_group_name_Hall 'I -4 2bw'
loop_
_atom_site_label
_atom_site_fract_x
_atom_site_fract_y
_atom_site_fract_z
Ga1 0.228 0.250 0.125
Os1 0.000 0.000 0.500
F1 0.000 0.000 0.000



(3)
# PrDy4S6, relaxed, DFT PBE
# Energy relative to the elements, uncorrected ... -2048 meV per atom
# Total magnetic moment ... 0.000 μB/cell
# Volume ... 998 Å³ per cell
# DFT total energy ... -0.4710 Ry per atom
data_PrDy4S6
_cell_length_a 3.884
_cell_length_b 12.888
_cell_length_c 19.941
_cell_angle_alpha 90.00
_cell_angle_beta 90.00
_cell_angle_gamma 90.00
_space_group_name_H-M_alt 'C m c m'
_space_group_IT_number 63
_space_group_name_Hall '-C 2c 2'
loop_
_atom_site_label
_atom_site_fract_x
_atom_site_fract_y
_atom_site_fract_z
Pr1 0.000 0.154 0.250
Dy1 0.000 0.092 0.626
Dy2 0.000 0.362 0.539
S1 0.000 0.000 0.000
S2 0.000 0.184 0.750
S3 0.000 0.268 0.089
S4 0.000 0.453 0.665



Q: Which of these has the lowest DFT total energy?
A: PrDy4S6